A geometry-optimized SnTe2PbAu structure, computed with PBE.

abc: 5.8341 5.8341 5.1231
angles: 90.00 90.00 90.00
Closest atoms and distances in Å follow each position.
Space group P4/mmm (No. 123)
One atom of each set of equivalent atoms:
Sn 0.0000 0.0000 0.0000 (multiplicity 1)  2 Au 2.56
Te 0.0000 0.5000 0.0000 (multiplicity 2)  2 Sn 2.92
Pb 0.5000 0.5000 0.5000 (multiplicity 1)  8 Te 3.88, 4 Au 4.13
Au 0.0000 0.0000 0.5000 (multiplicity 1)  2 Sn 2.56

Properties
The electronic total energy comes out at -16.3 eV for the cell shown. The formation energy from raw total energies is 0.2032 eV per atom. The value obtained for the total moment is 0.0000 μB per atom.


A geometry-optimized NaPm2Pb structure, computed with PBE.

abc: 7.7966 7.7966 7.7966
angles: 90.00 90.00 90.00
Closest atoms and distances in Å follow each position.
Space group Fm-3m (No. 225)
One atom of each set of equivalent atoms:
Na 0.0000 0.0000 0.0000 (multiplicity 4)  8 Pm 3.38
Pm 0.2500 0.2500 0.2500 (multiplicity 8)  4 Pb 3.38, 4 Na 3.38
Pb 0.0000 0.0000 0.5000 (multiplicity 4)  8 Pm 3.38

Properties
The electronic total energy comes out at -61.6 eV for the cell shown. The value obtained for the total moment is 0.0005 μB per atom. For the calculated formation energy, the calculation gives -0.215 eV per atom.


A geometry-optimized Ac2Ga4Ni3Pd structure, computed with PBE.

abc: 4.3845 4.3845 9.9990
angles: 90.00 90.00 90.00
Closest atoms and distances in Å follow each position.
Space group P-4m2 (No. 115)
One atom of each set of equivalent atoms:
Ac 0.0000 0.5000 0.2488 (multiplicity 2)  8 Ga 3.32-3.35, 6 Ni 3.33-3.34, 2 Pd 3.33
Ga 0.0000 0.0000 0.0000 (multiplicity 1)  4 Ni 2.52
Ga 0.0000 0.5000 0.6255 (multiplicity 2)  3 Ni 2.50-2.53, 2 Pd 2.53
Ga 0.5000 0.5000 0.0000 (multiplicity 1)  4 Ni 2.52
Ni 0.0000 0.5000 0.8753 (multiplicity 2)  5 Ga 2.50-2.52
Ni 0.5000 0.5000 0.5000 (multiplicity 1)  4 Ga 2.53
Pd 0.0000 0.0000 0.5000 (multiplicity 1)  4 Ga 2.53

Properties
The electronic total energy comes out at -48.6 eV for the cell shown. The value obtained for the total moment is 0.0000 μB per atom. For the calculated formation energy, the calculation gives -0.570 eV per atom.


A geometry-optimized HgSbI2O structure, computed with PBE.

abc: 6.3223 6.3223 4.0497
angles: 90.00 90.00 90.00
Closest atoms and distances in Å follow each position.
Space group P4/mmm (No. 123)
One atom of each set of equivalent atoms:
Hg 0.0000 0.0000 0.0000 (multiplicity 1)  8 I 3.75, 2 Hg 4.05
Sb 0.5000 0.5000 0.0000 (multiplicity 1)  2 O 2.02
I 0.0000 0.5000 0.5000 (multiplicity 2)  2 O 3.16
O 0.5000 0.5000 0.5000 (multiplicity 1)  2 Sb 2.02

Properties
The electronic total energy comes out at -11.8 eV for the cell shown. The formation energy from raw total energies is 0.1400 eV per atom. The value obtained for the total moment is 0.0000 μB per atom.


A geometry-optimized CrNiPt structure, computed with PBE.

abc: 4.1148 4.1148 2.6159
angles: 90.00 90.00 120.00
Closest atoms and distances in Å follow each position.
Space group P-6m2 (No. 187)
One atom of each set of equivalent atoms:
Cr 0.0000 0.0000 0.0000 (multiplicity 1)  3 Ni 2.38, 2 Cr 2.62
Ni 0.6667 0.3333 0.0000 (multiplicity 1)  3 Cr 2.38, 2 Ni 2.62
Pt 0.3333 0.6667 0.5000 (multiplicity 1)  2 Pt 2.62, 6 Cr 2.71, 6 Ni 2.71

Properties
The electronic total energy comes out at -21.6 eV for the cell shown. The value obtained for the total moment is 0.0090 μB per atom. For the calculated formation energy, the calculation gives -0.039 eV per atom.


A geometry-optimized Zn2CdAg7 structure, computed with PBE.

abc: 7.5423 18.1118 2.9461
angles: 90.00 90.00 90.00
Closest atoms and distances in Å follow each position.
Space group Cmmm (No. 65)
One atom of each set of equivalent atoms:
Zn 0.0000 0.2409 0.0000 (multiplicity 4)  4 Ag 2.65-2.68, 2 Zn 2.95
Cd 0.0000 0.0000 0.5000 (multiplicity 2)  8 Ag 2.92, 2 Cd 2.95
Ag 0.0000 0.3625 0.5000 (multiplicity 4)  2 Zn 2.65, 8 Ag 2.81-2.95
Ag 0.0000 0.5000 0.0000 (multiplicity 2)  10 Ag 2.89-3.15
Ag 0.1871 0.1153 0.0000 (multiplicity 8)  1 Zn 2.68, 5 Ag 2.81-2.95, 2 Cd 2.92

Properties
The electronic total energy comes out at -44.0 eV for the cell shown. The value obtained for the total moment is 0.0000 μB per atom. For the calculated formation energy, the calculation gives 0.140 eV per atom.


A geometry-optimized Pm6NbS12 structure, computed with PBE.

abc: 12.0005 12.0005 11.4964
angles: 90.00 90.00 120.00
Closest atoms and distances in Å follow each position.
Space group R-3 (No. 148, hexagonal axes)
One atom of each set of equivalent atoms:
Pm 0.0550 0.2764 0.1419 (multiplicity 18)  7 S 2.76-3.03
Nb 0.0000 0.0000 0.5000 (multiplicity 3)  6 S 2.48
S 0.0375 0.2199 0.8987 (multiplicity 18)  4 Pm 2.76-2.90
S 0.0533 0.1935 0.3825 (multiplicity 18)  1 Nb 2.48

Properties
The electronic total energy comes out at -362.0 eV for the cell shown. The formation energy from raw total energies is -1.7133 eV per atom. The value obtained for the total moment is 0.0000 μB per atom.


A geometry-optimized YErAl6 structure, computed with PBE.

abc: 6.1650 6.1650 4.7251
angles: 90.00 90.00 120.00
Closest atoms and distances in Å follow each position.
Space group P-6m2 (No. 187)
One atom of each set of equivalent atoms:
Y 0.0000 0.0000 0.0000 (multiplicity 1)  12 Al 3.08-3.09
Er 0.6667 0.3333 0.5000 (multiplicity 1)  12 Al 3.08-3.09
Al 0.0355 0.5177 0.0000 (multiplicity 3)  6 Al 2.75-2.85, 2 Er 3.08
Al 0.1852 0.3704 0.5000 (multiplicity 3)  6 Al 2.74-2.85

Properties
The electronic total energy comes out at -36.8 eV for the cell shown. The value obtained for the total moment is 0.0000 μB per atom. For the calculated formation energy, the calculation gives -0.419 eV per atom.


A geometry-optimized ErNi2Ge structure, computed with PBE.

abc: 7.0637 6.5207 5.4733
angles: 90.00 90.00 90.00
Closest atoms and distances in Å follow each position.
Space group Pnma (No. 62)
One atom of each set of equivalent atoms:
Er 0.0290 0.2500 0.1534 (multiplicity 4)  8 Ni 2.86-3.08, 3 Ge 2.93-2.97
Ni 0.1756 0.0568 0.5822 (multiplicity 8)  3 Ge 2.39-2.49, 1 Ni 2.52
Ge 0.1231 0.7500 0.3478 (multiplicity 4)  6 Ni 2.39-2.49

Properties
The electronic total energy comes out at -93.3 eV for the cell shown. The value obtained for the total moment is 0.0000 μB per atom. For the calculated formation energy, the calculation gives -0.643 eV per atom.


A geometry-optimized Cs2CoSbCl structure, computed with PBE.

abc: 7.0143 7.0143 4.1412
angles: 90.00 90.00 90.00
Closest atoms and distances in Å follow each position.
Space group P4/mmm (No. 123)
One atom of each set of equivalent atoms:
Cs 0.0000 0.5000 0.0000 (multiplicity 2)  2 Cl 3.51
Co 0.0000 0.0000 0.5000 (multiplicity 1)  2 Cl 2.07
Sb 0.5000 0.5000 0.5000 (multiplicity 1)  8 Cs 4.07, 2 Sb 4.14
Cl 0.0000 0.0000 0.0000 (multiplicity 1)  2 Co 2.07

Properties
The electronic total energy comes out at -15.3 eV for the cell shown. The formation energy from raw total energies is -0.0971 eV per atom. The value obtained for the total moment is 0.3893 μB per atom.


A geometry-optimized ScFe2Ir structure, computed with PBE.

abc: 3.6717 3.6717 18.8873
angles: 90.00 90.00 90.00
Closest atoms and distances in Å follow each position.
Space group I-42d (No. 122)
One atom of each set of equivalent atoms:
Sc 0.0000 0.0000 0.0000 (multiplicity 4)  4 Ir 2.60, 4 Fe 2.73
Fe 0.2240 0.2500 0.6250 (multiplicity 8)  4 Fe 2.46-2.73, 2 Ir 2.66, 2 Sc 2.73
Ir 0.0000 0.0000 0.5000 (multiplicity 4)  4 Sc 2.60, 4 Fe 2.66

Properties
The electronic total energy comes out at -126.3 eV for the cell shown. The value obtained for the total moment is 1.3309 μB per atom. For the calculated formation energy, the calculation gives 0.138 eV per atom.


A geometry-optimized FeB2S structure, computed with PBE.

abc: 4.7380 4.7380 8.0844
angles: 90.00 90.00 90.00
Closest atoms and distances in Å follow each position.
Space group I-42d (No. 122)
One atom of each set of equivalent atoms:
Fe 0.0000 0.0000 0.0000 (multiplicity 4)  4 B 2.00
B 0.2341 0.2500 0.6250 (multiplicity 8)  2 S 1.91, 2 Fe 2.00
S 0.0000 0.0000 0.5000 (multiplicity 4)  4 B 1.91

Properties
The electronic total energy comes out at -95.3 eV for the cell shown. The formation energy from raw total energies is 0.5323 eV per atom. The value obtained for the total moment is 0.4056 μB per atom.